No. 1
DFT (GGA-PBE) results for a relaxed structure of LiZr4Os.

## Properties
The calculation puts the formation energy at 3.885 eV/f.u. Its total energy is -7.2418 eV per atom.

Unit cell a=5.620 b=5.620 c=5.620 alpha=60.00 beta=60.00 gamma=60.00
Positions (direct):
Li  0.750  0.750  0.750
Zr  0.882  0.373  0.373
Zr  0.373  0.373  0.373
Zr  0.373  0.373  0.882
Zr  0.373  0.882  0.373
Os  0.000  0.000  0.000

No. 2
DFT (GGA-PBE) results for a relaxed structure of TaIn4.

## Properties
The calculation puts the formation energy at 2.934 eV/f.u. Its energy relative to the lowest polymorph listed for this composition is 40.4 kJ/mol of atoms. Its total energy is -3.9745 eV per atom.

Unit cell a=5.457 b=5.457 c=5.457 alpha=90.00 beta=90.00 gamma=90.00
Positions (direct):
In  0.500  0.000  0.500
In  0.500  0.500  0.000
In  0.000  0.000  0.000
Ta  0.500  0.500  0.500
In  0.000  0.500  0.500

No. 3
DFT (GGA-PBE) results for a relaxed structure of Pm3Sm6Er2Tl.

## Properties
The calculation puts the formation energy at -0.084 eV/f.u. Its total energy is -4.5119 eV per atom.

Unit cell a=6.233 b=6.233 c=11.778 alpha=95.15 beta=95.15 gamma=120.16
Positions (direct):
Er  0.666  0.334  0.000
Tl  0.000  0.000  0.000
Sm  0.920  0.592  0.757
Sm  0.080  0.408  0.243
Sm  0.592  0.920  0.757
Pm  0.832  0.168  0.500
Sm  0.753  0.753  0.246
Pm  0.168  0.832  0.500
Sm  0.247  0.247  0.754
Sm  0.408  0.080  0.243
Pm  0.500  0.500  0.500
Er  0.334  0.666  0.000

No. 4
DFT (GGA-PBE) results for a relaxed structure of NaTm3Pb12.

## Properties
The calculation puts the formation energy at -3.170 eV/f.u. Its total energy is -3.9002 eV per atom.

Unit cell a=4.846 b=4.846 c=19.716 alpha=90.00 beta=90.00 gamma=90.00
Positions (direct):
Pb  0.500  0.000  0.624
Pb  0.500  0.000  0.126
Pb  0.500  0.500  0.000
Pb  0.000  0.500  0.874
Na  0.000  0.000  0.000
Pb  0.500  0.500  0.750
Pb  0.000  0.500  0.376
Pb  0.000  0.500  0.126
Tm  0.000  0.000  0.745
Pb  0.500  0.000  0.376
Pb  0.500  0.000  0.874
Pb  0.000  0.500  0.624
Pb  0.500  0.500  0.250
Pb  0.500  0.500  0.500
Tm  0.000  0.000  0.500
Tm  0.000  0.000  0.255

No. 5
DFT (GGA-PBE) results for a relaxed structure of LiZr2ScOs.

## Properties
The calculation puts the formation energy at 3.107 eV/f.u. Its total energy is -6.6929 eV per atom.

Unit cell a=4.759 b=4.243 c=4.759 alpha=90.00 beta=90.00 gamma=90.00
Positions (direct):
Sc  0.500  0.500  0.500
Zr  0.000  0.000  0.500
Os  0.000  0.500  0.000
Zr  0.500  0.000  0.000
Li  0.000  0.000  0.000

No. 6
DFT (GGA-PBE) results for a relaxed structure of Pm5Ni4Pd.

## Properties
The calculation puts the formation energy at -3.568 eV/f.u. Its total energy is -5.5639 eV per atom.

Unit cell a=3.477 b=3.477 c=17.691 alpha=90.00 beta=90.00 gamma=90.00
Positions (direct):
Ni  0.000  0.000  0.204
Pm  0.500  0.500  0.500
Pm  0.500  0.500  0.303
Pm  0.500  0.500  0.893
Ni  0.000  0.000  0.599
Ni  0.000  0.000  0.401
Ni  0.000  0.000  0.796
Pm  0.500  0.500  0.107
Pd  0.000  0.000  0.000
Pm  0.500  0.500  0.697

No. 7
DFT (GGA-PBE) results for a relaxed structure of YIn2Se2.

## Properties
For the energy relative to the elements, uncorrected, the calculation gives -646.9 meV/atom. Its energy relative to the lowest polymorph listed for this composition is 6.5 kJ/mol of atoms. Its total energy is -4.4289 eV per atom.

Unit cell a=9.167 b=9.167 c=9.167 alpha=155.21 beta=155.21 gamma=35.35
Positions (direct):
Se  0.589  0.589  0.000
Se  0.411  0.411  0.000
In  0.250  0.750  0.500
In  0.750  0.250  0.500
Y  0.000  0.000  0.000

No. 8
DFT (GGA-PBE) results for a relaxed structure of NbAlVRu.

## Properties
The calculation puts the formation energy at -1.469 eV/f.u. Its total energy is -8.4190 eV per atom.

Unit cell a=4.423 b=4.423 c=4.423 alpha=60.00 beta=60.00 gamma=60.00
Positions (direct):
V  0.750  0.750  0.750
Ru  0.250  0.250  0.250
Al  0.500  0.500  0.500
Nb  0.000  0.000  0.000

No. 9
DFT (GGA-PBE) results for a relaxed structure of Cs2ZnAgP.

## Properties
The calculation puts the formation energy at -0.112 eV/f.u. Its total energy is -2.2709 eV per atom.

Unit cell a=7.186 b=7.186 c=4.339 alpha=90.00 beta=90.00 gamma=90.00
Positions (direct):
Zn  0.000  0.000  0.500
Ag  0.500  0.500  0.500
P  0.000  0.000  0.000
Cs  0.500  0.000  0.000
Cs  0.000  0.500  0.000

No. 10
DFT (GGA-PBE) results for a relaxed structure of AgSn2HgTe4.

## Properties
For the energy relative to the elements, uncorrected, the calculation gives -167.0 meV/atom. Its total energy is -3.1327 eV per atom.

Unit cell a=4.352 b=7.563 c=7.584 alpha=69.93 beta=90.00 gamma=90.00
Positions (direct):
Hg  0.500  0.500  0.000
Te  0.000  0.256  0.254
Sn  0.000  0.000  0.000
Ag  0.000  0.500  0.500
Te  0.500  0.260  0.738
Sn  0.500  0.000  0.500
Te  0.500  0.740  0.262
Te  0.000  0.744  0.746

No. 11
DFT (GGA-PBE) results for a relaxed structure of Pr6Dy2Ho3.

## Properties
The calculation puts the formation energy at 3.292 eV/f.u. Its energy relative to the lowest polymorph listed for this composition is 16.3 kJ/mol of atoms. Its total energy is -4.3930 eV per atom.

Unit cell a=4.770 b=4.770 c=17.487 alpha=97.84 beta=97.84 gamma=90.00
Positions (direct):
Ho  0.000  0.000  0.000
Ho  0.193  0.193  0.386
Pr  0.381  0.881  0.761
Dy  0.455  0.455  0.911
Pr  0.707  0.707  0.415
Pr  0.881  0.381  0.761
Pr  0.293  0.293  0.585
Pr  0.119  0.619  0.239
Pr  0.619  0.119  0.239
Dy  0.545  0.545  0.089
Ho  0.807  0.807  0.614

No. 12
DFT (GGA-PBE) results for a relaxed structure of Li3AgBi2.

## Properties
The calculation puts the formation energy at -1.928 eV/f.u. Its energy relative to the lowest polymorph listed for this composition is 0.7 kJ/mol of atoms. Its total energy is -3.0471 eV per atom.

Unit cell a=4.982 b=6.850 c=8.355 alpha=114.23 beta=96.99 gamma=90.00
Positions (direct):
Li  0.500  0.750  0.000
Bi  0.318  0.848  0.696
Bi  0.318  0.348  0.696
Bi  0.682  0.152  0.304
Li  0.183  0.419  0.337
Li  0.500  0.250  0.000
Ag  0.000  0.000  0.000
Bi  0.682  0.652  0.304
Ag  0.000  0.500  0.000
Li  0.817  0.081  0.663
Li  0.183  0.919  0.337
Li  0.817  0.581  0.663

No. 13
DFT (GGA-PBE) results for a relaxed structure of SrDyTlBi.

## Properties
The calculation puts the formation energy at -1.693 eV/f.u. Its total energy is -3.5560 eV per atom.

Unit cell a=5.628 b=5.628 c=5.628 alpha=60.00 beta=60.00 gamma=60.00
Positions (direct):
Sr  0.250  0.250  0.250
Bi  0.500  0.500  0.500
Dy  0.750  0.750  0.750
Tl  0.000  0.000  0.000

No. 14
DFT (GGA-PBE) results for a relaxed structure of Zn2MoN.

## Properties
For the energy relative to the elements, uncorrected, the calculation gives 407.9 meV/atom. Its total energy is -5.0182 eV per atom.

Unit cell a=7.241 b=7.241 c=5.520 alpha=49.01 beta=49.01 gamma=90.00
Positions (direct):
Zn  0.209  0.625  0.250
N  0.250  0.750  0.500
N  0.500  0.500  0.000
Zn  0.375  0.459  0.750
Zn  0.875  0.791  0.750
Mo  0.000  0.000  0.000
Mo  0.750  0.250  0.500
Zn  0.541  0.125  0.250

No. 15
DFT (GGA-PBE) results for a relaxed structure of YNi2Au.

## Properties
The calculation puts the formation energy at -1.298 eV/f.u. Its total energy is -5.6506 eV per atom.

Unit cell a=4.523 b=4.523 c=4.523 alpha=60.00 beta=60.00 gamma=60.00
Positions (direct):
Ni  0.250  0.250  0.250
Y  0.000  0.000  0.000
Ni  0.750  0.750  0.750
Au  0.500  0.500  0.500

No. 16
DFT (GGA-PBE) results for a relaxed structure of Sc9Sn3N2.

## Properties
For the energy relative to the elements, uncorrected, the calculation gives -958.3 meV/atom. Its total energy is -7.0757 eV per atom.

Unit cell a=6.343 b=6.343 c=7.780 alpha=90.00 beta=90.00 gamma=120.00
Positions (direct):
Sc  0.831  0.169  0.329
Sc  0.000  0.500  0.000
Sc  0.500  0.000  0.000
Sc  0.169  0.831  0.671
Sc  0.831  0.662  0.329
Sc  0.338  0.169  0.329
N  0.333  0.667  0.838
Sn  0.667  0.333  0.664
Sc  0.662  0.831  0.671
Sn  0.000  0.000  0.000
Sc  0.500  0.500  0.000
N  0.667  0.333  0.162
Sn  0.333  0.667  0.336
Sc  0.169  0.338  0.671

No. 17
DFT (GGA-PBE) results for a relaxed structure of NaAc2.

## Properties
The calculation puts the formation energy at 0.291 eV/f.u. Its energy relative to the lowest polymorph listed for this composition is 0.0 kJ/mol of atoms. Its total energy is -3.0817 eV per atom.

Unit cell a=3.922 b=3.922 c=8.935 alpha=102.68 beta=102.68 gamma=90.00
Positions (direct):
Na  0.000  0.000  0.000
Ac  0.332  0.332  0.664
Ac  0.668  0.668  0.336

No. 18
DFT (GGA-PBE) results for a relaxed structure of As2Pb2Au.

## Properties
The calculation puts the formation energy at 0.404 eV/f.u. Its energy relative to the lowest polymorph listed for this composition is 5.1 kJ/mol of atoms. Its total energy is -3.9178 eV per atom.

Unit cell a=3.792 b=3.792 c=9.179 alpha=78.08 beta=78.08 gamma=90.00
Positions (direct):
As  0.750  0.250  0.500
Pb  0.599  0.599  0.802
Pb  0.401  0.401  0.198
Au  0.000  0.000  0.000
As  0.250  0.750  0.500

No. 19
DFT (GGA-PBE) results for a relaxed structure of TlCoTe2.

## Properties
For the energy relative to the elements, uncorrected, the calculation gives -127.6 meV/atom. Its total energy is -4.0665 eV per atom.

Unit cell a=9.934 b=9.934 c=9.934 alpha=21.30 beta=21.30 gamma=21.30
Positions (direct):
Te  0.119  0.119  0.119
Te  0.881  0.881  0.881
Tl  0.000  0.000  0.000
Co  0.500  0.500  0.500

No. 20
DFT (GGA-PBE) results for a relaxed structure of ErCdSb2.

## Properties
For the energy relative to the elements, uncorrected, the calculation gives -337.9 meV/atom. Its energy relative to the lowest polymorph listed for this composition is 9.2 kJ/mol of atoms. Its total energy is -3.7686 eV per atom.

Unit cell a=4.427 b=4.427 c=7.289 alpha=72.32 beta=72.32 gamma=60.00
Positions (direct):
Sb  0.749  0.749  0.753
Cd  0.000  0.000  0.000
Er  0.500  0.500  0.500
Sb  0.251  0.251  0.247